First-principles (GGA+U) data for a relaxed structure of TiFeSb2O, as listed in Alexandria via LeMat-Bulk.

Unit cell a=5.627 b=5.627 c=3.623 alpha=90.00 beta=90.00 gamma=90.00
Space group P4/mmm (No. 123)
Symmetry-distinct sites (fractional):
Ti 0.000 0.000 0.000 (multiplicity 1)
Fe 0.500 0.500 0.500 (multiplicity 1)
Sb 0.000 0.500 0.000 (multiplicity 2)
O 0.000 0.000 0.500 (multiplicity 1)

V in Å³ per atom: 22.95
Final energy in eV per cell: -28.71